Record 1
# BaTaAl (PBE-GGA, optimized geometry)
data_BaTaAl
_space_group_name_H-M_alt 'P -6 m 2'
_space_group_IT_number 187
_space_group_name_Hall 'P -6 2'
_cell_length_a 5.1805
_cell_length_b 5.1805
_cell_length_c 3.2578
_cell_angle_alpha 90.00
_cell_angle_beta 90.00
_cell_angle_gamma 120.00
loop_
_atom_site_label
_atom_site_fract_x
_atom_site_fract_y
_atom_site_fract_z
Ba1 0.0000 0.0000 0.0000
Ta1 0.6667 0.3333 0.5000
Al1 0.3333 0.6667 0.5000
# **Energy of formation from the pure elements**: 0.822 eV/atom
# **Calculated total energy**: -5.0176 eV per atom
# **Magnetization**: 0.00 μB per formula unit
# **Distance to the lowest polymorph of the same formula**: 275 meV/atom

Record 2
# Pm3Sm (PBE-GGA, optimized geometry)
data_Pm3Sm
_space_group_name_H-M_alt 'P 63/m m c'
_space_group_IT_number 194
_space_group_name_Hall '-P 6c 2c'
_cell_length_a 7.3847
_cell_length_b 7.3847
_cell_length_c 5.8648
_cell_angle_alpha 90.00
_cell_angle_beta 90.00
_cell_angle_gamma 120.00
loop_
_atom_site_label
_atom_site_fract_x
_atom_site_fract_y
_atom_site_fract_z
Pm1 0.1667 0.3334 0.2500
Sm1 0.3333 0.6667 0.7500
# **Energy of formation from the pure elements**: 0.027 eV/atom
# **Calculated total energy**: -4.7153 eV per atom
# **Magnetization**: 0.00 μB per formula unit
# **Distance to the lowest polymorph of the same formula**: 26 meV/atom

Record 3
# Mn2GeOs (PBE-GGA, optimized geometry)
data_Mn2GeOs
_space_group_name_H-M_alt 'R 3 m'
_space_group_IT_number 160
_space_group_name_Hall 'R 3 -2"'
_cell_length_a 4.0070
_cell_length_b 4.0070
_cell_length_c 12.3449
_cell_angle_alpha 90.00
_cell_angle_beta 90.00
_cell_angle_gamma 120.00
loop_
_atom_site_label
_atom_site_fract_x
_atom_site_fract_y
_atom_site_fract_z
Mn1 0.0000 0.0000 0.0000
Mn2 0.0000 0.0000 0.1861
Ge1 0.0000 0.0000 0.6108
Os1 0.0000 0.0000 0.4052
# **Energy of formation from the pure elements**: 0.142 eV/atom
# **Calculated total energy**: -8.4043 eV per atom
# **Magnetization**: 1.72 μB per formula unit

Record 4
# SiTcMo4 (PBE-GGA, optimized geometry)
data_SiTcMo4
_space_group_name_H-M_alt 'F -4 3 m'
_space_group_IT_number 216
_space_group_name_Hall 'F -4 2 3'
_cell_length_a 7.283
_cell_length_b 7.283
_cell_length_c 7.283
_cell_angle_alpha 90.00
_cell_angle_beta 90.00
_cell_angle_gamma 90.00
loop_
_atom_site_label
_atom_site_fract_x
_atom_site_fract_y
_atom_site_fract_z
Si1 0.000 0.000 0.000
Tc1 0.250 0.250 0.250
Mo1 0.126 0.126 0.626
# **Calculated total energy**: -9.4034 eV per atom
# **Uncorrected formation energy**: 0.4488 eV per atom
# **Magnetization**: 0.00 μB per formula unit

Record 5
# Zr4Sc3N8 (PBE-GGA, optimized geometry)
data_Zr4Sc3N8
_space_group_name_H-M_alt 'C 1 2/m 1'
_space_group_IT_number 12
_cell_length_a 9.060
_cell_length_b 9.121
_cell_length_c 6.442
_cell_angle_alpha 90.00
_cell_angle_beta 134.58
_cell_angle_gamma 90.00
loop_
_space_group_symop_operation_xyz
'x,y,z'
'-x,-y,-z'
'-x,y,-z'
'x,-y,z'
'x+1/2,y+1/2,z'
'-x+1/2,-y+1/2,-z'
'-x+1/2,y+1/2,-z'
'x+1/2,-y+1/2,z'
loop_
_atom_site_label
_atom_site_fract_x
_atom_site_fract_y
_atom_site_fract_z
Zr1 0.000 0.000 0.000
Zr2 0.000 0.500 0.500
Zr3 0.250 0.250 0.000
Sc1 0.000 0.000 0.500
Sc2 0.250 0.250 0.500
N1 0.000 0.241 0.000
N2 0.000 0.250 0.500
N3 0.242 0.000 0.478
N4 0.244 0.000 0.002
# **Calculated total energy**: -9.6172 eV per atom
# **Uncorrected formation energy**: -1.6312 eV per atom
# **Magnetization**: 0.00 μB per formula unit

Record 6
# NaSr5Te6 (PBE-GGA, optimized geometry)
data_NaSr5Te6
_space_group_name_H-M_alt 'C 1 2/m 1'
_space_group_IT_number 12
_cell_length_a 8.192
_cell_length_b 14.207
_cell_length_c 8.194
_cell_angle_alpha 90.00
_cell_angle_beta 109.49
_cell_angle_gamma 90.00
loop_
_space_group_symop_operation_xyz
'x,y,z'
'-x,-y,-z'
'-x,y,-z'
'x,-y,z'
'x+1/2,y+1/2,z'
'-x+1/2,-y+1/2,-z'
'-x+1/2,y+1/2,-z'
'x+1/2,-y+1/2,z'
loop_
_atom_site_label
_atom_site_fract_x
_atom_site_fract_y
_atom_site_fract_z
Na1 0.000 0.000 0.000
Sr1 0.000 0.166 0.500
Sr2 0.000 0.333 0.000
Sr3 0.000 0.500 0.500
Te1 0.249 0.500 0.250
Te2 0.250 0.167 0.250
# **Calculated total energy**: -3.8924 eV per atom
# **Uncorrected formation energy**: -1.5109 eV per atom
# **Magnetization**: 0.00 μB per formula unit

Record 7
# LiTcCl4 (PBE-GGA, optimized geometry)
data_LiTcCl4
_space_group_name_H-M_alt 'I -4'
_space_group_IT_number 82
_cell_length_a 6.119
_cell_length_b 6.119
_cell_length_c 10.014
_cell_angle_alpha 90.00
_cell_angle_beta 90.00
_cell_angle_gamma 90.00
loop_
_space_group_symop_operation_xyz
'x,y,z'
'y,-x,-z'
'-x,-y,z'
'-y,x,-z'
'x+1/2,y+1/2,z+1/2'
'y+1/2,-x+1/2,-z+1/2'
'-x+1/2,-y+1/2,z+1/2'
'-y+1/2,x+1/2,-z+1/2'
loop_
_atom_site_label
_atom_site_fract_x
_atom_site_fract_y
_atom_site_fract_z
Li1 0.000 0.000 0.000
Tc1 0.000 0.500 0.250
Cl1 0.204 0.269 0.124
# **Calculated total energy**: -4.0030 eV per atom
# **Uncorrected formation energy**: -0.7252 eV per atom
# **Magnetization**: 0.10 μB per formula unit
# **Distance to the lowest polymorph of the same formula**: 187 meV/atom

Record 8
# GeMoS2 (PBE-GGA, optimized geometry)
data_GeMoS2
_space_group_name_H-M_alt 'R -3 m'
_space_group_IT_number 166
_space_group_name_Hall '-R 3 2"'
_cell_length_a 3.1689
_cell_length_b 3.1689
_cell_length_c 25.7766
_cell_angle_alpha 90.00
_cell_angle_beta 90.00
_cell_angle_gamma 120.00
loop_
_atom_site_label
_atom_site_fract_x
_atom_site_fract_y
_atom_site_fract_z
Ge1 0.0000 0.0000 0.0000
Mo1 0.0000 0.0000 0.5000
S1 0.0000 0.0000 0.1042
# **Calculated total energy**: -6.2455 eV per atom
# **Uncorrected formation energy**: -0.3197 eV per atom
# **Magnetization**: 0.00 μB per formula unit

Record 9
# BaLiPdO3 (PBE-GGA, optimized geometry)
data_BaLiPdO3
_space_group_name_H-M_alt 'C m c m'
_space_group_IT_number 63
_space_group_name_Hall '-C 2c 2'
_cell_length_a 5.578
_cell_length_b 10.637
_cell_length_c 5.716
_cell_angle_alpha 90.00
_cell_angle_beta 90.00
_cell_angle_gamma 90.00
loop_
_atom_site_label
_atom_site_fract_x
_atom_site_fract_y
_atom_site_fract_z
Ba1 0.000 0.212 0.250
Li1 0.000 0.077 0.750
Pd1 0.000 0.477 0.750
O1 0.000 0.259 0.750
O2 0.240 0.000 0.000
# **Calculated total energy**: -5.4268 eV per atom
# **Uncorrected formation energy**: -1.4428 eV per atom
# **Magnetization**: 1.04 μB per formula unit

Record 10
# NiOs (PBE-GGA, optimized geometry)
data_NiOs
_space_group_name_H-M_alt 'C 1 m 1'
_space_group_IT_number 8
_cell_length_a 9.417
_cell_length_b 2.698
_cell_length_c 6.235
_cell_angle_alpha 90.00
_cell_angle_beta 104.59
_cell_angle_gamma 90.00
loop_
_space_group_symop_operation_xyz
'x,y,z'
'x,-y,z'
'x+1/2,y+1/2,z'
'x+1/2,-y+1/2,z'
loop_
_atom_site_label
_atom_site_fract_x
_atom_site_fract_y
_atom_site_fract_z
Ni1 0.000 0.000 0.000
Ni2 0.054 0.000 0.611
Ni3 0.163 0.500 0.340
Os1 0.223 0.500 0.946
Os2 0.333 0.000 0.668
Os3 0.382 0.000 0.274
# **Energy of formation from the pure elements**: 0.122 eV/atom
# **Calculated total energy**: -8.3840 eV per atom
# **Magnetization**: 0.00 μB per formula unit

Record 11
# LiPrSc2 (PBE-GGA, optimized geometry)
data_LiPrSc2
_space_group_name_H-M_alt 'P 4/m m m'
_space_group_IT_number 123
_space_group_name_Hall '-P 4 2'
_cell_length_a 3.553
_cell_length_b 3.553
_cell_length_c 8.094
_cell_angle_alpha 90.00
_cell_angle_beta 90.00
_cell_angle_gamma 90.00
loop_
_atom_site_label
_atom_site_fract_x
_atom_site_fract_y
_atom_site_fract_z
Li1 0.000 0.000 0.000
Pr1 0.000 0.000 0.500
Sc1 0.500 0.500 0.207
# **Energy of formation from the pure elements**: 0.134 eV/atom
# **Calculated total energy**: -4.7052 eV per atom
# **Magnetization**: 0.00 μB per formula unit
# **Distance to the lowest polymorph of the same formula**: 0 meV/atom

Record 12
# Mn2Ag2Br7 (PBE-GGA, optimized geometry)
data_Mn2Ag2Br7
_space_group_name_H-M_alt 'C 1 2/c 1'
_space_group_IT_number 15
_cell_length_a 10.275
_cell_length_b 11.396
_cell_length_c 13.716
_cell_angle_alpha 90.00
_cell_angle_beta 111.73
_cell_angle_gamma 90.00
loop_
_space_group_symop_operation_xyz
'x,y,z'
'-x,-y,-z'
'-x,y,-z+1/2'
'x,-y,z+1/2'
'x+1/2,y+1/2,z'
'-x+1/2,-y+1/2,-z'
'-x+1/2,y+1/2,-z+1/2'
'x+1/2,-y+1/2,z+1/2'
loop_
_atom_site_label
_atom_site_fract_x
_atom_site_fract_y
_atom_site_fract_z
Mn1 0.191 0.017 0.201
Ag1 0.052 0.331 0.458
Br1 0.000 0.070 0.750
Br2 0.091 0.469 0.643
Br3 0.184 0.205 0.118
Br4 0.203 0.129 0.569
# **Calculated total energy**: -3.7714 eV per atom
# **Uncorrected formation energy**: -0.5213 eV per atom
# **Magnetization**: 9.00 μB per formula unit
# **Distance to the lowest polymorph of the same formula**: 0 meV/atom